# 1
FeRe2Se: relaxed, GGA-PBE.

Properties
Total DFT energy (no corrections)   -131.2 eV for the cell shown
N(E_F)   3.1 states/eV per cell
ΔE_f (raw)   1.01 eV/atom

```
data_FeRe2Se
_chemical_formula_sum 'Fe4 Re8 Se4'
_cell_length_a 5.4200
_cell_length_b 5.4200
_cell_length_c 10.7121
_cell_angle_alpha 90.00
_cell_angle_beta 90.00
_cell_angle_gamma 90.00
_symmetry_space_group_name_H-M 'I -4 2 d'
_symmetry_Int_Tables_number 122
_symmetry_space_group_name_Hall 'I -4 2bw'
loop_
_atom_site_label
_atom_site_type_symbol
_atom_site_fract_x
_atom_site_fract_y
_atom_site_fract_z
_atom_site_occupancy
Fe1 Fe 0.0000 0.0000 0.0000 1
Re1 Re 0.2184 0.2500 0.1250 1
Se1 Se 0.0000 0.0000 0.5000 1
```



# 2
LiAg2Rh: relaxed, GGA-PBE.

Properties
Total DFT energy (no corrections)   -15.0 eV for the cell shown
N(E_F)   2.6 states/eV per cell
Energy of formation from the pure elements   -1.6 kJ/mol of atoms

```
data_LiAg2Rh
_chemical_formula_sum 'Li1 Ag2 Rh1'
_cell_length_a 2.8506
_cell_length_b 4.6602
_cell_length_c 4.7800
_cell_angle_alpha 90.00
_cell_angle_beta 90.00
_cell_angle_gamma 90.00
_symmetry_space_group_name_H-M 'P m m 2'
_symmetry_Int_Tables_number 25
loop_
_symmetry_equiv_pos_as_xyz
'x,y,z'
'-x,-y,z'
'-x,y,z'
'x,-y,z'
loop_
_atom_site_label
_atom_site_type_symbol
_atom_site_fract_x
_atom_site_fract_y
_atom_site_fract_z
_atom_site_occupancy
Li1 Li 0.0000 0.0000 0.0000 1
Ag1 Ag 0.5000 0.0000 0.5185 1
Ag2 Ag 0.5000 0.5000 0.1264 1
Rh1 Rh 0.0000 0.5000 0.6262 1
```



# 3
BiPd2Pb2: relaxed, GGA-PBE.

Properties
Total DFT energy (no corrections)   -45.5 eV for the cell shown
N(E_F)   3.9 states/eV per cell
Excess energy over the best structure of this formula in the dataset   0 meV per atom
Energy of formation from the pure elements   -20.3 kJ/mol of atoms

```
data_BiPd2Pb2
_chemical_formula_sum 'Bi2 Pd4 Pb4'
_cell_length_a 5.4657
_cell_length_b 4.5446
_cell_length_c 10.1854
_cell_angle_alpha 90.00
_cell_angle_beta 99.46
_cell_angle_gamma 90.00
_symmetry_space_group_name_H-M 'P 1 21/m 1'
_symmetry_Int_Tables_number 11
loop_
_symmetry_equiv_pos_as_xyz
'x,y,z'
'-x,-y,-z'
'-x,y+1/2,-z'
'x,-y+1/2,z'
loop_
_atom_site_label
_atom_site_type_symbol
_atom_site_fract_x
_atom_site_fract_y
_atom_site_fract_z
_atom_site_occupancy
Bi1 Bi 0.0638 0.2500 0.2835 1
Pd1 Pd 0.1368 0.7500 0.4681 1
Pd2 Pd 0.1887 0.2500 0.8554 1
Pb1 Pb 0.2807 0.7500 0.0345 1
Pb2 Pb 0.3959 0.2500 0.6191 1
```